# 1
VASP calculation (PBE) on an optimized crystal structure of Ho2TmHg8.

a b c (Å): 8.3358 8.3358 7.2040
angles (deg): 108.22 108.22 34.22
Last column: nearest neighbours and their distance in Å.
Element x y z (fractional)
Ho1 0.2158 0.2158 0.1567  10 Hg 3.11-3.32
Ho2 0.7842 0.7842 0.8433  10 Hg 3.11-3.32
Tm1 0.5000 0.5000 0.5000  12 Hg 3.03-3.37
Hg1 0.0292 0.0292 0.2309  7 Hg 3.11-3.28, 1 Ho 3.19, 2 Tm 3.25
Hg2 0.1496 0.1496 0.6823  7 Hg 3.11-3.40, 3 Ho 3.21-3.23, 2 Tm 3.37
Hg3 0.3293 0.3293 0.5996  1 Tm 3.03, 6 Hg 3.05-3.28, 3 Ho 3.11-3.23
Hg4 0.4026 0.4026 0.0480  6 Hg 3.05-3.40, 1 Tm 3.12, 3 Ho 3.15-3.32
Hg5 0.5974 0.5974 0.9520  6 Hg 3.05-3.40, 1 Tm 3.12, 3 Ho 3.15-3.32
Hg6 0.6707 0.6707 0.4004  1 Tm 3.03, 6 Hg 3.05-3.28, 3 Ho 3.11-3.23
Hg7 0.8504 0.8504 0.3177  7 Hg 3.11-3.40, 3 Ho 3.21-3.23, 2 Tm 3.37
Hg8 0.9708 0.9708 0.7691  7 Hg 3.11-3.28, 1 Ho 3.19, 2 Tm 3.25

Computed properties:
The calculation puts the calculated total energy at -19.3 eV/f.u. The value obtained for the volume is 266 Å³/cell. The formation energy comes out at -0.295 eV per atom. As for the crystal system: monoclinic. As for the total magnetization: 0.0 μB per cell.

=====

# 2
VASP calculation (PBE) on an optimized crystal structure of Ho4TmHg.

a b c (Å): 3.5389 3.5389 13.9496
angles (deg): 90.00 90.00 90.00
Last column: nearest neighbours and their distance in Å.
Element x y z (fractional)
Ho1 0.0000 0.0000 0.1451  4 Hg 3.22, 8 Ho 3.53-3.54
Ho2 0.0000 0.0000 0.8549  4 Hg 3.22, 8 Ho 3.53-3.54
Ho3 0.5000 0.5000 0.3239  4 Tm 3.51, 8 Ho 3.53-3.54
Ho4 0.5000 0.5000 0.6761  4 Tm 3.51, 8 Ho 3.53-3.54
Tm1 0.0000 0.0000 0.5000  8 Ho 3.51, 4 Tm 3.54
Hg1 0.5000 0.5000 0.0000  8 Ho 3.22, 4 Hg 3.54

Computed properties:
As for the excess energy over the best structure of this formula in the dataset: 0 meV per atom. The calculation puts the calculated total energy at -23.9 eV/f.u. The value obtained for the volume is 175 Å³/cell. The formation energy comes out at -0.142 eV per atom. As for the crystal system: tetragonal. As for the total magnetization: 0.0 μB per cell.

=====

# 3
VASP calculation (PBE) on an optimized crystal structure of HoTmHg.

a b c (Å): 3.5741 3.5741 12.7860
angles (deg): 90.00 90.00 90.00
Last column: nearest neighbours and their distance in Å.
Element x y z (fractional)
Ho1 0.0000 0.0000 0.0000  4 Hg 3.23, 4 Tm 3.52, 4 Ho 3.57
Ho2 0.5000 0.5000 0.5000  4 Hg 3.23, 4 Tm 3.52, 4 Ho 3.57
Tm1 0.0000 0.0000 0.3088  4 Hg 3.19, 4 Ho 3.52
Tm2 0.5000 0.5000 0.8088  4 Hg 3.19, 4 Ho 3.52
Hg1 0.0000 0.0000 0.6571  4 Tm 3.19, 4 Ho 3.23
Hg2 0.5000 0.5000 0.1571  4 Tm 3.19, 4 Ho 3.23

Computed properties:
As for the excess energy over the best structure of this formula in the dataset: 10 meV per atom. The calculation puts the calculated total energy at -10.2 eV/f.u. The value obtained for the volume is 163 Å³/cell. The formation energy comes out at -0.299 eV per atom. As for the crystal system: tetragonal. As for the total magnetization: 2.3 μB per cell.

=====

# 4
VASP calculation (PBE) on an optimized crystal structure of HoTm6Hg2.

a b c (Å): 6.4790 6.4790 11.6860
angles (deg): 108.16 108.16 32.91
Last column: nearest neighbours and their distance in Å.
Element x y z (fractional)
Ho1 0.0000 0.0000 0.0000  4 Hg 3.12
Tm1 0.0146 0.0146 0.3380  2 Hg 3.14, 7 Tm 3.44-3.52
Tm2 0.3123 0.3123 0.1238  2 Hg 3.16, 5 Tm 3.35-3.44
Tm3 0.3128 0.3128 0.4167  2 Hg 3.21, 8 Tm 3.40-3.52
Tm4 0.6872 0.6872 0.5833  2 Hg 3.21, 8 Tm 3.40-3.52
Tm5 0.6877 0.6877 0.8762  2 Hg 3.16, 5 Tm 3.35-3.44
Tm6 0.9854 0.9854 0.6620  2 Hg 3.14, 7 Tm 3.44-3.52
Hg1 0.3545 0.3545 0.7911  2 Ho 3.12, 6 Tm 3.14-3.21
Hg2 0.6455 0.6455 0.2089  2 Ho 3.12, 6 Tm 3.14-3.21

Computed properties:
The calculation puts the calculated total energy at -33.8 eV/f.u. The value obtained for the volume is 252 Å³/cell. The formation energy comes out at -0.201 eV per atom. As for the crystal system: monoclinic. As for the total magnetization: 0.0 μB per cell.

=====

# 5
VASP calculation (PBE) on an optimized crystal structure of Ho2TmHg.

a b c (Å): 4.4475 12.0394 8.6667
angles (deg): 90.00 90.00 90.00
Last column: nearest neighbours and their distance in Å.
Element x y z (fractional)
Ho1 0.0000 0.1370 0.0498  3 Hg 2.99-3.08
Ho2 0.0000 0.1370 0.4502  3 Hg 2.99-3.08
Ho3 0.0000 0.8630 0.5498  3 Hg 2.99-3.08
Ho4 0.0000 0.8630 0.9502  3 Hg 2.99-3.08
Ho5 0.5000 0.3630 0.5498  3 Hg 2.99-3.08
Ho6 0.5000 0.3630 0.9502  3 Hg 2.99-3.08
Ho7 0.5000 0.6370 0.0498  3 Hg 2.99-3.08
Ho8 0.5000 0.6370 0.4502  3 Hg 2.99-3.08
Tm1 0.0000 0.4478 0.2500  3 Hg 3.35-3.51, 8 Ho 3.57-3.63
Tm2 0.0000 0.5522 0.7500  3 Hg 3.35-3.51, 8 Ho 3.57-3.63
Tm3 0.5000 0.0522 0.7500  3 Hg 3.35-3.51, 8 Ho 3.57-3.63
Tm4 0.5000 0.9478 0.2500  3 Hg 3.35-3.51, 8 Ho 3.57-3.63
Hg1 0.0000 0.2604 0.7500  6 Ho 2.99-3.08, 2 Tm 3.35
Hg2 0.0000 0.7396 0.2500  6 Ho 2.99-3.08, 2 Tm 3.35
Hg3 0.5000 0.2396 0.2500  6 Ho 2.99-3.08, 2 Tm 3.35
Hg4 0.5000 0.7604 0.7500  6 Ho 2.99-3.08, 2 Tm 3.35

Computed properties:
As for the excess energy over the best structure of this formula in the dataset: 79 meV per atom. The calculation puts the calculated total energy at -14.5 eV/f.u. The value obtained for the volume is 464 Å³/cell. The formation energy comes out at -0.142 eV per atom. As for the crystal system: orthorhombic. As for the total magnetization: 0.0 μB per cell.

=====

# 6
VASP calculation (PBE) on an optimized crystal structure of HoTmHg.

a b c (Å): 7.1426 7.1426 7.1426
angles (deg): 90.00 90.00 90.00
Last column: nearest neighbours and their distance in Å.
Element x y z (fractional)
Ho1 0.0000 0.0000 0.0000  4 Hg 3.09
Ho2 0.0000 0.5000 0.5000  4 Hg 3.09
Ho3 0.5000 0.0000 0.5000  4 Hg 3.09
Ho4 0.5000 0.5000 0.0000  4 Hg 3.09
Tm1 0.0000 0.0000 0.5000  4 Hg 3.09
Tm2 0.0000 0.5000 0.0000  4 Hg 3.09
Tm3 0.5000 0.0000 0.0000  4 Hg 3.09
Tm4 0.5000 0.5000 0.5000  4 Hg 3.09
Hg1 0.2500 0.2500 0.7500  4 Ho 3.09, 4 Tm 3.09
Hg2 0.2500 0.7500 0.2500  4 Ho 3.09, 4 Tm 3.09
Hg3 0.7500 0.2500 0.2500  4 Ho 3.09, 4 Tm 3.09
Hg4 0.7500 0.7500 0.7500  4 Ho 3.09, 4 Tm 3.09

Computed properties:
As for the excess energy over the best structure of this formula in the dataset: 190 meV per atom. The calculation puts the calculated total energy at -9.7 eV/f.u. The value obtained for the volume is 364 Å³/cell. The formation energy comes out at -0.119 eV per atom. As for the crystal system: cubic. As for the total magnetization: 0.0 μB per cell.

=====

# 7
VASP calculation (PBE) on an optimized crystal structure of HoTm2Hg6.

a b c (Å): 9.1955 9.1955 5.3982
angles (deg): 97.73 97.73 78.17
Last column: nearest neighbours and their distance in Å.
Element x y z (fractional)
Ho1 0.1257 0.8743 0.7500  10 Hg 3.11-3.32
Ho2 0.8743 0.1257 0.2500  10 Hg 3.11-3.32
Tm1 0.2082 0.4585 0.9158  10 Hg 3.10-3.29
Tm2 0.4585 0.2082 0.4158  10 Hg 3.10-3.29
Tm3 0.5415 0.7918 0.5842  10 Hg 3.10-3.29
Tm4 0.7918 0.5415 0.0842  10 Hg 3.10-3.29
Hg1 0.0138 0.7621 0.1955  5 Hg 3.09-3.31, 3 Ho 3.11-3.32, 2 Tm 3.11-3.29
Hg2 0.0976 0.3485 0.3616  5 Hg 3.09-3.31, 4 Tm 3.10-3.29, 1 Ho 3.14
Hg3 0.2379 0.9862 0.3045  5 Hg 3.09-3.31, 3 Ho 3.11-3.32, 2 Tm 3.11-3.29
Hg4 0.3203 0.5694 0.4708  5 Hg 3.08-3.29, 4 Tm 3.10-3.29, 1 Ho 3.30
Hg5 0.3485 0.0976 0.8616  5 Hg 3.09-3.31, 4 Tm 3.10-3.29, 1 Ho 3.14
Hg6 0.4306 0.6797 0.0292  5 Hg 3.08-3.29, 4 Tm 3.10-3.29, 1 Ho 3.30
Hg7 0.5694 0.3203 0.9708  5 Hg 3.08-3.29, 4 Tm 3.10-3.29, 1 Ho 3.30
Hg8 0.6515 0.9024 0.1384  5 Hg 3.09-3.31, 4 Tm 3.10-3.29, 1 Ho 3.14
Hg9 0.6797 0.4306 0.5292  5 Hg 3.08-3.29, 4 Tm 3.10-3.29, 1 Ho 3.30
Hg10 0.7621 0.0138 0.6955  5 Hg 3.09-3.31, 3 Ho 3.11-3.32, 2 Tm 3.11-3.29
Hg11 0.9024 0.6515 0.6384  5 Hg 3.09-3.31, 4 Tm 3.10-3.29, 1 Ho 3.14
Hg12 0.9862 0.2379 0.8045  5 Hg 3.09-3.31, 3 Ho 3.11-3.32, 2 Tm 3.11-3.29

Computed properties:
As for the excess energy over the best structure of this formula in the dataset: 0 meV per atom. The calculation puts the calculated total energy at -18.7 eV/f.u. The value obtained for the volume is 440 Å³/cell. The formation energy comes out at -0.377 eV per atom. As for the crystal system: monoclinic. As for the total magnetization: 0.0 μB per cell.

=====

# 8
VASP calculation (PBE) on an optimized crystal structure of HoTmHg.

a b c (Å): 5.1801 8.9899 6.8748
angles (deg): 90.00 90.00 90.00
Last column: nearest neighbours and their distance in Å.
Element x y z (fractional)
Ho1 0.0000 0.0000 0.0000  2 Ho 3.44, 6 Hg 3.45-3.46, 6 Tm 3.45
Ho2 0.0000 0.0000 0.5000  2 Ho 3.44, 6 Hg 3.45-3.46, 6 Tm 3.45
Ho3 0.5000 0.5000 0.0000  2 Ho 3.44, 6 Hg 3.45-3.46, 6 Tm 3.45
Ho4 0.5000 0.5000 0.5000  2 Ho 3.44, 6 Hg 3.45-3.46, 6 Tm 3.45
Tm1 0.0000 0.3330 0.2500  3 Hg 2.99
Tm2 0.0000 0.6670 0.7500  3 Hg 2.99
Tm3 0.5000 0.1670 0.7500  3 Hg 2.99
Tm4 0.5000 0.8330 0.2500  3 Hg 2.99
Hg1 0.0000 0.3339 0.7500  3 Tm 2.99
Hg2 0.0000 0.6661 0.2500  3 Tm 2.99
Hg3 0.5000 0.1661 0.2500  3 Tm 2.99
Hg4 0.5000 0.8339 0.7500  3 Tm 2.99

Computed properties:
As for the excess energy over the best structure of this formula in the dataset: 0 meV per atom. The calculation puts the calculated total energy at -10.3 eV/f.u. The value obtained for the volume is 320 Å³/cell. The formation energy comes out at -0.309 eV per atom. As for the crystal system: orthorhombic. As for the total magnetization: 0.0 μB per cell.